Computed, not measured: La2Pr3Hg4 after structural relaxation at the PBE level of DFT.

Properties
Total energy   -3.2140 eV/atom
Distance to the lowest polymorph of the same formula   0 meV/atom

Cell: 9.4228 5.4440 10.6149 Å, 90.00 90.04 90.00°
Space group C2/m (No. 12)
One atom of each set of equivalent atoms:
La: 0.1666 0.0000 0.2893 (multiplicity 4)
Pr: 0.0000 0.5000 0.5000 (multiplicity 2)
Pr: 0.1665 0.0000 0.9153 (multiplicity 4)
Hg: 0.0001 0.5000 0.1504 (multiplicity 4)
Hg: 0.1667 0.0000 0.6032 (multiplicity 4)